a | An optimized crystal structure of Pr3Dy4Cd, computed with PBE.

Lattice parameters (Å, degrees): 4.9670 10.1286 10.0480 90.00 90.00 90.00
Atoms (fractional coordinates):
Dy  0.0644  0.8755  0.5000
Dy  0.0644  0.1238  0.7537
Dy  0.0644  0.1238  0.2463
Dy  0.5644  0.1238  0.5000
Dy  0.5644  0.8762  0.7463
Dy  0.5644  0.1245  0.0000
Dy  0.0644  0.8762  0.0000
Dy  0.5644  0.8762  0.2537
Pr  0.5644  0.3773  0.7547
Pr  0.5644  0.3773  0.2453
Pr  0.0644  0.6227  0.2547
Pr  0.5644  0.6262  0.0000
Pr  0.0644  0.6227  0.7453
Pr  0.0644  0.3738  0.5000
Cd  0.0644  0.3638  0.0000
Cd  0.5644  0.6362  0.5000

Values from the calculation:
SG = No. 59
N(E_F) = 24.7 states/eV per cell
Calculated volume = 506 Å³ per cell
Total magnetization = 0.000 μB/atom

b | An optimized crystal structure of Pr3Dy4Cd, computed with PBE.

Lattice parameters (Å, degrees): 3.6371 3.6371 19.3160 90.00 90.00 90.00
Atoms (fractional coordinates):
Pr  0.5000  0.5000  0.7649
Pr  0.5000  0.5000  0.2351
Pr  0.5000  0.5000  0.5000
Dy  0.0000  0.0000  0.1039
Dy  0.0000  0.0000  0.6323
Dy  0.0000  0.0000  0.3677
Dy  0.0000  0.0000  0.8961
Cd  0.5000  0.5000  0.0000

Values from the calculation:
SG = No. 123
N(E_F) = 9.8 states/eV per cell
Calculated volume = 256 Å³ per cell
Total magnetization = 0.000 μB/atom

Least stable of them? a.

a | An optimized crystal structure of PrDyCd, computed with PBE.

Lattice parameters (Å, degrees): 3.6739 5.3163 5.3163 120.00 90.00 90.00
Atoms (fractional coordinates):
Pr  0.6372  0.6667  0.3333
Dy  0.0756  0.0000  0.0000
Cd  0.2872  0.3333  0.6667

Values from the calculation:
SG = No. 156
N(E_F) = 4.3 states/eV per cell
Calculated volume = 90 Å³ per cell
Total magnetization = 0.000 μB/atom

b | An optimized crystal structure of PrDyCd, computed with PBE.

Lattice parameters (Å, degrees): 3.4128 8.1532 8.1532 95.08 90.00 90.00
Atoms (fractional coordinates):
Dy  0.0000  0.0000  0.0000
Dy  0.5000  0.5000  0.5000
Pr  0.5000  0.7639  0.2361
Pr  0.5000  0.2361  0.7639
Cd  0.0000  0.2691  0.2691
Cd  0.0000  0.7309  0.7309

Values from the calculation:
SG = No. 65
N(E_F) = 9.0 states/eV per cell
Calculated volume = 226 Å³ per cell
Total magnetization = 0.000 μB/atom

c | An optimized crystal structure of PrDyCd, computed with PBE.

Lattice parameters (Å, degrees): 5.2448 5.2448 5.2437 89.83 120.10 120.11
Atoms (fractional coordinates):
Cd  0.4445  0.2222  0.6667
Dy  0.9444  0.9722  0.9166
Pr  0.9444  0.4722  0.4166

Values from the calculation:
SG = No. 119
N(E_F) = 5.2 states/eV per cell
Calculated volume = 102 Å³ per cell
Total magnetization = 0.003 μB/atom

Least stable of them? b.